## AsPtW2 (PBE)

Data for crystalline AsPtW2 at its relaxed geometry.

POSCAR file:
```
AsPtW2
1.0
4.907 -0.012 -0.007
3.932 2.935 -0.007
0.408 0.135 4.519
W As Pt
2 1 1
Cartesian
4.744 1.569 2.188
8.718 2.884 0.050
6.936 2.294 3.379
2.312 0.765 1.126
```

For the total DFT energy (no corrections), the calculation gives -8.93 eV/atom. For the energy of formation from the pure elements, the calculation gives 214.5 meV per atom.

## CaNbSi2O8 (PBE)

Data for crystalline CaNbSi2O8 at its relaxed geometry.

POSCAR file:
```
CaNbSi2O8
1.0
-2.342 -2.252 -4.631
1.128 -3.601 4.215
-3.760 3.701 2.040
O Ca Nb Si
8 1 1 2
Cartesian
-3.650 1.694 0.658
-4.185 0.619 -1.771
-0.934 -1.967 1.099
-3.126 -1.861 -2.565
-4.041 -1.826 -0.392
-2.012 -3.578 -0.789
-3.351 -0.451 2.278
-2.066 0.115 -0.871
0.000 0.000 0.000
-1.619 -1.413 3.023
-0.607 -2.926 -0.208
-3.354 -0.739 -1.400
```

For the total DFT energy (no corrections), the calculation gives -7.71 eV/atom. The value obtained for the uncorrected formation energy is -2497.2 meV per atom.

## KInSb2I (PBE)

Data for crystalline KInSb2I at its relaxed geometry.

POSCAR file:
```
KInSb2I
1.0
-3.406 -1.578 -4.972
3.880 -4.736 -1.155
-3.597 -3.845 3.684
I Sb In K
1 2 1 1
Cartesian
-1.799 -1.923 1.842
-1.703 -0.789 -2.486
1.940 -2.368 -0.577
-1.562 -5.079 -1.222
0.000 0.000 0.000
```

For the total DFT energy (no corrections), the calculation gives -2.06 eV/atom. The value obtained for the energy above the most stable polymorph in this dataset is 62.78 kJ/mol of atoms. The value obtained for the uncorrected formation energy is 667.5 meV per atom.

## TcTe2P (PBE)

Data for crystalline TcTe2P at its relaxed geometry.

POSCAR file:
```
TcTe2P
1.0
4.323 -1.555 1.441
2.244 2.176 3.663
0.460 -2.261 4.226
P Te Tc
1 2 1
Cartesian
3.513 -0.820 4.665
5.270 -1.230 6.997
0.000 0.000 0.000
1.757 -0.410 2.332
```

For the total DFT energy (no corrections), the calculation gives -4.75 eV/atom. The value obtained for the uncorrected formation energy is 768.7 meV per atom.

## AlMo2As (PBE)

Data for crystalline AlMo2As at its relaxed geometry.

POSCAR file:
```
AlMo2As
1.0
-3.883 -2.410 0.380
1.578 -2.481 0.392
0.787 -0.495 4.902
Mo Al As
2 1 1
Cartesian
-1.447 -1.820 1.348
2.068 -2.514 5.190
1.279 -1.625 2.763
0.128 -3.889 4.314
```

For the total DFT energy (no corrections), the calculation gives -7.48 eV/atom. The value obtained for the energy above the most stable polymorph in this dataset is 24.15 kJ/mol of atoms. For the energy of formation from the pure elements, the calculation gives 33.3 meV per atom.

## CaTi2Os4 (PBE)

Data for crystalline CaTi2Os4 at its relaxed geometry.

POSCAR file:
```
CaTi2Os4
1.0
4.616 0.000 0.000
0.000 4.616 0.000
2.308 2.308 6.372
Os Ca Ti
4 1 2
Cartesian
4.616 4.616 2.569
0.000 2.308 0.000
2.308 0.000 0.000
2.308 2.308 3.803
0.000 0.000 0.000
2.308 2.308 1.534
4.616 4.616 4.838
```

For the total DFT energy (no corrections), the calculation gives -7.10 eV/atom. For the energy of formation from the pure elements, the calculation gives 1861.7 meV per atom.

## LiPuZn (PBE)

Data for crystalline LiPuZn at its relaxed geometry.

POSCAR file:
```
LiPuZn
1.0
-2.283 1.596 0.580
-2.278 -3.903 1.779
2.692 2.786 2.929
Zn Pu Li
1 1 1
Cartesian
-0.380 0.266 0.097
-0.486 1.620 2.932
-1.001 -1.407 2.259
```

For the total DFT energy (no corrections), the calculation gives -5.83 eV/atom. The value obtained for the energy above the most stable polymorph in this dataset is 0.00 kJ/mol of atoms. For the energy of formation from the pure elements, the calculation gives 10.8 meV per atom.

## GaPtBr (PBE)

Data for crystalline GaPtBr at its relaxed geometry.

POSCAR file:
```
GaPtBr
1.0
3.540 0.025 0.004
1.780 4.374 0.003
0.314 -0.104 9.626
Br Ga Pt
2 2 2
Cartesian
4.274 3.244 7.319
2.492 1.339 0.826
4.267 1.883 5.241
4.259 4.119 2.636
2.506 2.445 3.371
2.508 0.157 5.056
```

For the total DFT energy (no corrections), the calculation gives -4.03 eV/atom. The value obtained for the energy above the most stable polymorph in this dataset is 6.74 kJ/mol of atoms. The value obtained for the uncorrected formation energy is -454.0 meV per atom.

> Look up the total DFT energy (no corrections) of the first one.

-8.93 eV/atom

> Which formula does entry 6 have?

CaTi2Os4

> Which value of total DFT energy (no corrections) does entry 2 give?

-7.71 eV/atom

> total DFT energy (no corrections) of number 7 (LiPuZn)?

-5.83 eV/atom